VASP calculation (PBE-GGA) on crystalline SmErZnPt at its relaxed geometry. Values from VASP.

Calculated values
distance to the lowest polymorph of the same formula = 0 meV/atom
calculated formation energy = -781 meV per atom

Cell and atoms, written as Quantum ESPRESSO input:
```
&SYSTEM
  ibrav = 0, nat = 4, ntyp = 4
/
ATOMIC_SPECIES
Sm 150.36 Sm.upf
Er 167.26 Er.upf
Zn 65.41 Zn.upf
Pt 195.08 Pt.upf
ATOMIC_POSITIONS crystal
Sm 0.0000 0.0000 0.8629
Er 0.0000 0.0000 0.3476
Zn 0.5000 0.5000 0.5921
Pt 0.5000 0.5000 0.1253
CELL_PARAMETERS angstrom
3.5728 0.0000 0.0000
0.0000 3.5728 0.0000
0.0000 0.0000 7.0069
```